Entry 1:
Compound: SrCd3
Source: Alexandria via LeMat-Bulk
Functional: PBEsol
Structure: relaxed

Summary:
The magnetic moment is 0.00 μB/f.u. The space group is No. 221. As for the volume: 104.84 Å³/cell. The energy of formation is -171 meV per atom.

Cell lengths 4.715, 4.715, 4.715 Å; angles 90.00, 90.00, 90.00 degrees
Atoms (fractional coordinates):
Sr (0.000, 0.000, 0.000)
Cd (0.000, 0.500, 0.500)
Cd (0.500, 0.000, 0.500)
Cd (0.500, 0.500, 0.000)

---

Entry 2:
Compound: Rb3RhC
Source: Alexandria via LeMat-Bulk
Functional: PBEsol
Structure: relaxed

Summary:
The magnetic moment is 2.75 μB/f.u. The space group is No. 221. As for the volume: 195.06 Å³/cell. The energy of formation is 1671 meV per atom.

Cell lengths 5.799, 5.799, 5.799 Å; angles 90.00, 90.00, 90.00 degrees
Atoms (fractional coordinates):
Rb (0.000, 0.000, 0.500)
Rb (0.000, 0.500, 0.000)
Rb (0.500, 0.000, 0.000)
Rh (0.000, 0.000, 0.000)
C (0.500, 0.500, 0.500)

---

Entry 3:
Compound: SrTlTc
Source: Alexandria via LeMat-Bulk
Functional: PBEsol
Structure: relaxed

Summary:
The magnetic moment is 1.59 μB/f.u. The space group is No. 216. As for the volume: 82.92 Å³/cell. The energy of formation is 1028 meV per atom.

Cell lengths 4.895, 4.895, 4.895 Å; angles 60.00, 60.00, 60.00 degrees
Atoms (fractional coordinates):
Sr (0.000, 0.000, 0.000)
Tl (0.250, 0.250, 0.250)
Tc (0.500, 0.500, 0.500)

---

Entry 4:
Compound: TaCrBr2
Source: Alexandria via LeMat-Bulk
Functional: PBEsol
Structure: relaxed

Summary:
The magnetic moment is 3.46 μB/f.u. The space group is No. 12. For the formation energy (no corrections), the calculation gives 0.604 eV/atom. As for the volume: 76.17 Å³/cell. The calculation puts the energy relative to the lowest polymorph listed for this composition at 489 meV/atom.

Cell lengths 5.333, 5.333, 3.160 Å; angles 104.40, 104.40, 109.94 degrees
Atoms (fractional coordinates):
Ta (0.000, 0.000, 0.000)
Cr (0.500, 0.500, 0.000)
Br (0.000, 0.500, 0.000)
Br (0.500, 0.000, 0.000)

---

Entry 5:
Compound: KSr4Co
Source: Alexandria via LeMat-Bulk
Functional: PBEsol
Structure: relaxed

Summary:
The magnetic moment is 2.20 μB/f.u. The space group is No. 216. As for the volume: 299.13 Å³/cell. The energy of formation is 912 meV per atom.

Cell lengths 7.507, 7.507, 7.507 Å; angles 60.00, 60.00, 60.00 degrees
Atoms (fractional coordinates):
K (0.000, 0.000, 0.000)
Sr (0.376, 0.376, 0.376)
Sr (0.376, 0.376, 0.873)
Sr (0.376, 0.873, 0.376)
Sr (0.873, 0.376, 0.376)
Co (0.750, 0.750, 0.750)

---

Entry 6:
Compound: SrTlSi2
Source: Alexandria via LeMat-Bulk
Functional: PBEsol
Structure: relaxed

Summary:
The magnetic moment is 0.00 μB/f.u. The space group is No. 44. For the formation energy (no corrections), the calculation gives -0.145 eV/atom. As for the volume: 98.90 Å³/cell. The calculation puts the energy relative to the lowest polymorph listed for this composition at 0 meV/atom.

Cell lengths 6.315, 6.315, 6.315 Å; angles 144.85, 136.56, 57.06 degrees
Atoms (fractional coordinates):
Sr (0.000, 0.000, 0.000)
Tl (0.288, 0.788, 0.500)
Si (0.610, 0.610, 0.000)
Si (0.744, 0.244, 0.500)